1.
Here is a relaxed Ca2ReRh crystal from Alexandria via LeMat-Bulk. Energies are from GGA-PBEsol.

Lattice parameters (Å, degrees): 2.817 4.492 5.891 90.00 90.00 90.00
Space group Pmmm (No. 47)
Inequivalent atoms, fractional coordinates:
Ca: 0.000 0.000 0.245
Re: 0.500 0.500 0.500
Rh: 0.500 0.500 0.000

Results
DOS(E_F)	1.153	states/eV per atom
DFT total energy	-5.872	eV per atom
energy of formation from the pure elements	217	kJ/mol of formula units

***

2.
Here is a relaxed KCrOs2 crystal from Alexandria via LeMat-Bulk. Energies are from GGA-PBEsol.

Lattice parameters (Å, degrees): 2.707 2.707 9.026 90.00 90.00 90.00
Space group P4/mmm (No. 123)
Inequivalent atoms, fractional coordinates:
K: 0.000 0.000 0.000
Cr: 0.000 0.000 0.500
Os: 0.500 0.500 0.315

Results
DOS(E_F)	1.008	states/eV per atom
DFT total energy	-8.135	eV per atom
offset from the most stable computed form	92	meV/atom
energy of formation from the pure elements	315	kJ/mol of formula units

***

3.
Here is a relaxed UReB4 crystal from Alexandria via LeMat-Bulk. Energies are from GGA-PBEsol.

Lattice parameters (Å, degrees): 5.895 11.454 3.566 90.00 90.00 90.00
Space group Pbam (No. 55)
Inequivalent atoms, fractional coordinates:
U: 0.128 0.150 0.000
Re: 0.140 0.406 0.000
B: 0.027 0.693 0.500
B: 0.116 0.547 0.500
B: 0.132 0.968 0.500
B: 0.210 0.811 0.500

Results
DOS(E_F)	0.658	states/eV per atom
DFT total energy	-9.493	eV per atom
energy of formation from the pure elements	-328	kJ/mol of formula units

***

4.
Here is a relaxed Co4P3 crystal from Alexandria via LeMat-Bulk. Energies are from GGA-PBEsol.

Lattice parameters (Å, degrees): 4.6400 4.6400 4.2568 90.00 90.00 120.00
Space group P6/mmm (No. 191)
Inequivalent atoms, fractional coordinates:
Co: 0.0000 0.0000 0.2448
Co: 0.3333 0.6667 0.0000
P: 0.0000 0.5000 0.5000

Results
DOS(E_F)	1.310	states/eV per atom
DFT total energy	-6.483	eV per atom
energy of formation from the pure elements	284	kJ/mol of formula units

***

5.
Here is a relaxed AsP2CS crystal from Alexandria via LeMat-Bulk. Energies are from GGA-PBEsol.

Lattice parameters (Å, degrees): 4.686 4.686 4.511 90.00 90.00 90.00
Space group P4/mmm (No. 123)
Inequivalent atoms, fractional coordinates:
As: 0.000 0.000 0.000
P: 0.000 0.500 0.000
C: 0.500 0.500 0.500
S: 0.000 0.000 0.500

Results
DOS(E_F)	0.949	states/eV per atom
DFT total energy	-3.879	eV per atom
formation energy without anion corrections	2264	meV/atom

***

6.
Here is a relaxed Dy6Al43Cr4 crystal from Alexandria via LeMat-Bulk. Energies are from GGA-PBEsol.

Lattice parameters (Å, degrees): 10.8025 10.8025 17.4955 90.00 90.00 120.00
Space group P6_3/mcm (No. 193)
Inequivalent atoms, fractional coordinates:
Dy: 0.0000 0.4691 0.0949
Al: 0.0000 0.1454 0.7500
Al: 0.0000 0.1558 0.1156
Al: 0.0000 0.2501 0.5299
Al: 0.1444 0.5459 0.2500
Al: 0.1580 0.3910 0.6655
Al: 0.2468 0.4935 0.0000
Al: 0.3333 0.6667 0.1268
Cr: 0.0000 0.0000 0.0000
Cr: 0.0000 0.2673 0.2500

Results
DOS(E_F)	0.474	states/eV per atom
DFT total energy	-4.924	eV per atom
energy of formation from the pure elements	-1367	kJ/mol of formula units

***

7.
Here is a relaxed CoW2Au crystal from Alexandria via LeMat-Bulk. Energies are from GGA-PBEsol.

Lattice parameters (Å, degrees): 6.191 6.191 6.191 90.00 90.00 90.00
Space group Fm-3m (No. 225)
Inequivalent atoms, fractional coordinates:
Co: 0.000 0.000 0.000
W: 0.250 0.250 0.250
Au: 0.000 0.000 0.500

Results
DOS(E_F)	1.550	states/eV per atom
DFT total energy	-9.129	eV per atom
offset from the most stable computed form	477	meV/atom
energy of formation from the pure elements	266	kJ/mol of formula units

***

8.
Here is a relaxed KCr2HgBi crystal from Alexandria via LeMat-Bulk. Energies are from GGA-PBEsol.

Lattice parameters (Å, degrees): 5.346 5.346 5.378 90.00 90.00 90.00
Space group P4/mmm (No. 123)
Inequivalent atoms, fractional coordinates:
K: 0.000 0.000 0.000
Cr: 0.000 0.500 0.000
Hg: 0.000 0.000 0.500
Bi: 0.500 0.500 0.500

Results
DOS(E_F)	0.582	states/eV per atom
DFT total energy	-3.543	eV per atom
energy of formation from the pure elements	845	kJ/mol of formula units

***

9.
Here is a relaxed CrCdSe2 crystal from Alexandria via LeMat-Bulk. Energies are from GGA-PBEsol.

Lattice parameters (Å, degrees): 12.992 3.506 3.773 90.00 92.15 90.00
Space group Cm (No. 8)
Inequivalent atoms, fractional coordinates:
Cr: 0.000 0.000 0.000
Cd: 0.228 0.000 0.611
Se: 0.149 0.500 0.095
Se: 0.428 0.000 0.570

Results
DOS(E_F)	0.307	states/eV per atom
DFT total energy	-4.982	eV per atom
formation energy without anion corrections	-197	meV/atom

***

10.
Here is a relaxed NaLa2CdCo crystal from Alexandria via LeMat-Bulk. Energies are from GGA-PBEsol.

Lattice parameters (Å, degrees): 5.866 5.866 5.059 90.00 90.00 90.00
Space group P4/mmm (No. 123)
Inequivalent atoms, fractional coordinates:
Na: 0.000 0.000 0.000
La: 0.000 0.500 0.500
Cd: 0.000 0.000 0.500
Co: 0.500 0.500 0.000

Results
DOS(E_F)	1.169	states/eV per atom
DFT total energy	-3.208	eV per atom
energy of formation from the pure elements	481	kJ/mol of formula units

***

11.
Here is a relaxed KBaCa2S crystal from Alexandria via LeMat-Bulk. Energies are from GGA-PBEsol.

Lattice parameters (Å, degrees): 5.588 5.588 6.501 90.00 90.00 90.00
Space group P4/mmm (No. 123)
Inequivalent atoms, fractional coordinates:
K: 0.000 0.000 0.000
Ba: 0.500 0.500 0.000
Ca: 0.000 0.500 0.500
S: 0.500 0.500 0.500

Results
DOS(E_F)	1.238	states/eV per atom
DFT total energy	-3.019	eV per atom
formation energy without anion corrections	-632	meV/atom

***

12.
Here is a relaxed YNiSe2 crystal from Alexandria via LeMat-Bulk. Energies are from GGA-PBEsol.

Lattice parameters (Å, degrees): 3.789 3.789 5.552 90.00 90.00 90.00
Space group P4mm (No. 99)
Inequivalent atoms, fractional coordinates:
Y: 0.000 0.000 0.000
Ni: 0.500 0.500 0.364
Se: 0.000 0.000 0.471
Se: 0.500 0.500 0.906

Results
DOS(E_F)	0.618	states/eV per atom
DFT total energy	-6.127	eV per atom
formation energy without anion corrections	-957	meV/atom

***

13.
Here is a relaxed Cd2AgCl crystal from Alexandria via LeMat-Bulk. Energies are from GGA-PBEsol.

Lattice parameters (Å, degrees): 3.3889 3.3889 24.6804 90.00 90.00 120.00
Space group R-3m (No. 166, hexagonal axes)
Inequivalent atoms, fractional coordinates:
Cd: 0.0000 0.0000 0.2485
Ag: 0.0000 0.0000 0.5000
Cl: 0.0000 0.0000 0.0000

Results
DOS(E_F)	0.131	states/eV per atom
DFT total energy	-2.185	eV per atom
offset from the most stable computed form	0	meV/atom
formation energy without anion corrections	-257	meV/atom

***

14.
Here is a relaxed MnTl2H2OF5 crystal from Alexandria via LeMat-Bulk. Energies are from GGA-PBEsol.

Lattice parameters (Å, degrees): 9.543 7.677 8.384 90.00 90.00 90.00
Space group Cmcm (No. 63)
Inequivalent atoms, fractional coordinates:
Mn: 0.000 0.000 0.000
Tl: 0.203 0.305 0.250
H: 0.000 0.370 0.654
O: 0.000 0.448 0.750
F: 0.000 0.002 0.750
F: 0.000 0.246 0.004
F: 0.194 0.000 0.000

Results
DOS(E_F)	0.147	states/eV per atom
DFT total energy	-5.138	eV per atom

***

15.
Here is a relaxed ZnInTe2 crystal from Alexandria via LeMat-Bulk. Energies are from GGA-PBEsol.

Lattice parameters (Å, degrees): 5.928 5.913 5.924 90.00 90.00 90.00
Space group Amm2 (No. 38)
Inequivalent atoms, fractional coordinates:
Zn: 0.000 0.000 0.000
In: 0.500 0.000 0.487
Te: 0.000 0.000 0.487
Te: 0.500 0.000 0.986

Results
DOS(E_F)	0.168	states/eV per atom
DFT total energy	-3.118	eV per atom
formation energy without anion corrections	-214	meV/atom

***

16.
Here is a relaxed YScNi4 crystal from Alexandria via LeMat-Bulk. Energies are from GGA-PBEsol.

Lattice parameters (Å, degrees): 6.937 6.937 6.937 90.00 90.00 90.00
Space group F-43m (No. 216)
Inequivalent atoms, fractional coordinates:
Y: 0.000 0.000 0.000
Sc: 0.250 0.250 0.750
Ni: 0.124 0.124 0.376

Results
DOS(E_F)	0.580	states/eV per atom
DFT total energy	-6.824	eV per atom
energy of formation from the pure elements	-279	kJ/mol of formula units

***

17.
Here is a relaxed CoOsAu2 crystal from Alexandria via LeMat-Bulk. Energies are from GGA-PBEsol.

Lattice parameters (Å, degrees): 6.182 6.182 6.182 90.00 90.00 90.00
Space group Fm-3m (No. 225)
Inequivalent atoms, fractional coordinates:
Co: 0.000 0.000 0.000
Os: 0.000 0.000 0.500
Au: 0.250 0.250 0.250

Results
DOS(E_F)	1.415	states/eV per atom
DFT total energy	-6.236	eV per atom
offset from the most stable computed form	469	meV/atom
energy of formation from the pure elements	276	kJ/mol of formula units

***

18.
Here is a relaxed InPt2Cl crystal from Alexandria via LeMat-Bulk. Energies are from GGA-PBEsol.

Lattice parameters (Å, degrees): 5.678 8.164 2.925 90.00 90.00 90.00
Space group Cmmm (No. 65)
Inequivalent atoms, fractional coordinates:
In: 0.000 0.000 0.000
Pt: 0.250 0.250 0.500
Cl: 0.000 0.500 0.000

Results
DOS(E_F)	0.900	states/eV per atom
DFT total energy	-4.491	eV per atom
offset from the most stable computed form	195	meV/atom
formation energy without anion corrections	239	meV/atom

***

19.
Here is a relaxed ZrBiSN2 crystal from Alexandria via LeMat-Bulk. Energies are from GGA-PBEsol.

Lattice parameters (Å, degrees): 4.191 4.191 5.024 90.00 90.00 90.00
Space group P4/mmm (No. 123)
Inequivalent atoms, fractional coordinates:
Zr: 0.000 0.000 0.000
Bi: 0.500 0.500 0.500
S: 0.500 0.500 0.000
N: 0.000 0.500 0.500

Results
DOS(E_F)	0.487	states/eV per atom
DFT total energy	-5.931	eV per atom
formation energy without anion corrections	1032	meV/atom

***

20.
Here is a relaxed LaAlH6 crystal from Alexandria via LeMat-Bulk. Energies are from GGA-PBEsol.

Lattice parameters (Å, degrees): 6.3851 6.3851 6.2176 90.00 90.00 120.00
Space group R-3m (No. 166, hexagonal axes)
Inequivalent atoms, fractional coordinates:
La: 0.0000 0.0000 0.0000
Al: 0.0000 0.0000 0.5000
H: 0.0943 0.5472 0.3460

Results
DOS(E_F)	0.000	states/eV per atom
DFT total energy	-4.007	eV per atom